w) Density functional theory data (PBE) for a geometry-optimized BeSbI2N structure.

Geometry as CIF:
```
data_BeSbI2N
_chemical_formula_sum 'Be1 Sb1 I2 N1'
_cell_length_a 6.876
_cell_length_b 6.876
_cell_length_c 3.031
_cell_angle_alpha 90.00
_cell_angle_beta 90.00
_cell_angle_gamma 90.00
_symmetry_space_group_name_H-M 'P 1'
_symmetry_Int_Tables_number 1
loop_
_symmetry_equiv_pos_as_xyz
'x,y,z'
loop_
_atom_site_label
_atom_site_fract_x
_atom_site_fract_y
_atom_site_fract_z
Be1 0.000 0.000 0.000
Sb1 0.500 0.500 0.500
I1 0.000 0.500 0.000
I2 0.500 0.000 0.000
N1 0.000 0.000 0.500
```

Computed properties:
Total magnetic moment in μB per cell: 1.1
Symmetry: P4/mmm (123)
N(E_F) in states/eV per atom: 0.61

x) Density functional theory data (PBE) for a geometry-optimized BeSbI2N structure.

Geometry as CIF:
```
data_BeSbI2N
_chemical_formula_sum 'Be1 Sb1 I2 N1'
_cell_length_a 6.156
_cell_length_b 6.156
_cell_length_c 3.963
_cell_angle_alpha 90.00
_cell_angle_beta 90.00
_cell_angle_gamma 90.00
_symmetry_space_group_name_H-M 'P 1'
_symmetry_Int_Tables_number 1
loop_
_symmetry_equiv_pos_as_xyz
'x,y,z'
loop_
_atom_site_label
_atom_site_fract_x
_atom_site_fract_y
_atom_site_fract_z
Be1 0.000 0.000 0.000
Sb1 0.500 0.500 0.500
I1 0.000 0.500 0.500
I2 0.500 0.000 0.500
N1 0.500 0.500 0.000
```

Computed properties:
Total magnetic moment in μB per cell: 0.7
Symmetry: P4/mmm (123)
N(E_F) in states/eV per atom: 0.52

y) Density functional theory data (PBE) for a geometry-optimized BeSbI2N structure.

Geometry as CIF:
```
data_BeSbI2N
_chemical_formula_sum 'Be1 Sb1 I2 N1'
_cell_length_a 5.527
_cell_length_b 5.527
_cell_length_c 4.731
_cell_angle_alpha 90.00
_cell_angle_beta 90.00
_cell_angle_gamma 90.00
_symmetry_space_group_name_H-M 'P 1'
_symmetry_Int_Tables_number 1
loop_
_symmetry_equiv_pos_as_xyz
'x,y,z'
loop_
_atom_site_label
_atom_site_fract_x
_atom_site_fract_y
_atom_site_fract_z
Be1 0.000 0.000 0.000
Sb1 0.000 0.000 0.500
I1 0.000 0.500 0.000
I2 0.500 0.000 0.000
N1 0.500 0.500 0.500
```

Computed properties:
Total magnetic moment in μB per cell: 2.9
Symmetry: P4/mmm (123)
N(E_F) in states/eV per atom: 0.41

Pick w): it beats the second-best structure by 0.640 eV/atom.

w) Density functional theory data (PBE) for a geometry-optimized BeSbIN2 structure.

Geometry as CIF:
```
data_BeSbIN2
_chemical_formula_sum 'Be1 Sb1 I1 N2'
_cell_length_a 4.149
_cell_length_b 4.149
_cell_length_c 4.891
_cell_angle_alpha 90.00
_cell_angle_beta 90.00
_cell_angle_gamma 90.00
_symmetry_space_group_name_H-M 'P 1'
_symmetry_Int_Tables_number 1
loop_
_symmetry_equiv_pos_as_xyz
'x,y,z'
loop_
_atom_site_label
_atom_site_fract_x
_atom_site_fract_y
_atom_site_fract_z
Be1 0.000 0.000 0.000
Sb1 0.500 0.500 0.500
I1 0.000 0.000 0.500
N1 0.000 0.500 0.000
N2 0.500 0.000 0.000
```

Computed properties:
Total magnetic moment in μB per cell: 2.3
Symmetry: P4/mmm (123)
N(E_F) in states/eV per atom: 0.39

x) Density functional theory data (PBE) for a geometry-optimized BeSbIN2 structure.

Geometry as CIF:
```
data_BeSbIN2
_chemical_formula_sum 'Be1 Sb1 I1 N2'
_cell_length_a 3.989
_cell_length_b 3.989
_cell_length_c 7.397
_cell_angle_alpha 90.00
_cell_angle_beta 90.00
_cell_angle_gamma 90.00
_symmetry_space_group_name_H-M 'P 1'
_symmetry_Int_Tables_number 1
loop_
_symmetry_equiv_pos_as_xyz
'x,y,z'
loop_
_atom_site_label
_atom_site_fract_x
_atom_site_fract_y
_atom_site_fract_z
Be1 0.000 0.000 0.000
Sb1 0.500 0.500 0.500
I1 0.500 0.500 0.000
N1 0.000 0.500 0.500
N2 0.500 0.000 0.500
```

Computed properties:
Total magnetic moment in μB per cell: 1.0
Symmetry: P4/mmm (123)
N(E_F) in states/eV per atom: 0.33

Pick x): it beats the second-best structure by 0.126 eV/atom.

w) Density functional theory data (PBE) for a geometry-optimized ScBeIN2 structure.

Geometry as CIF:
```
data_ScBeIN2
_chemical_formula_sum 'Sc1 Be1 I1 N2'
_cell_length_a 4.016
_cell_length_b 4.016
_cell_length_c 6.243
_cell_angle_alpha 90.00
_cell_angle_beta 90.00
_cell_angle_gamma 90.00
_symmetry_space_group_name_H-M 'P 1'
_symmetry_Int_Tables_number 1
loop_
_symmetry_equiv_pos_as_xyz
'x,y,z'
loop_
_atom_site_label
_atom_site_fract_x
_atom_site_fract_y
_atom_site_fract_z
Sc1 0.000 0.000 0.000
Be1 0.500 0.500 0.500
I1 0.000 0.000 0.500
N1 0.000 0.500 0.000
N2 0.500 0.000 0.000
```

Computed properties:
Total magnetic moment in μB per cell: 0.0
Symmetry: P4/mmm (123)
N(E_F) in states/eV per atom: 0.40

x) Density functional theory data (PBE) for a geometry-optimized ScBeIN2 structure.

Geometry as CIF:
```
data_ScBeIN2
_chemical_formula_sum 'Sc1 Be1 I1 N2'
_cell_length_a 3.820
_cell_length_b 3.820
_cell_length_c 5.022
_cell_angle_alpha 90.00
_cell_angle_beta 90.00
_cell_angle_gamma 90.00
_symmetry_space_group_name_H-M 'P 1'
_symmetry_Int_Tables_number 1
loop_
_symmetry_equiv_pos_as_xyz
'x,y,z'
loop_
_atom_site_label
_atom_site_fract_x
_atom_site_fract_y
_atom_site_fract_z
Sc1 0.000 0.000 0.000
Be1 0.500 0.500 0.500
I1 0.500 0.500 0.000
N1 0.000 0.500 0.500
N2 0.500 0.000 0.500
```

Computed properties:
Total magnetic moment in μB per cell: 0.0
Symmetry: P4/mmm (123)
N(E_F) in states/eV per atom: 0.54

Pick x): it beats the second-best structure by 0.077 eV/atom.

w) Density functional theory data (PBE) for a geometry-optimized ScBeI2N structure.

Geometry as CIF:
```
data_ScBeI2N
_chemical_formula_sum 'Sc1 Be1 I2 N1'
_cell_length_a 5.490
_cell_length_b 5.490
_cell_length_c 3.358
_cell_angle_alpha 90.00
_cell_angle_beta 90.00
_cell_angle_gamma 90.00
_symmetry_space_group_name_H-M 'P 1'
_symmetry_Int_Tables_number 1
loop_
_symmetry_equiv_pos_as_xyz
'x,y,z'
loop_
_atom_site_label
_atom_site_fract_x
_atom_site_fract_y
_atom_site_fract_z
Sc1 0.000 0.000 0.000
Be1 0.500 0.500 0.500
I1 0.000 0.500 0.500
I2 0.500 0.000 0.500
N1 0.500 0.500 0.000
```

Computed properties:
Total magnetic moment in μB per cell: 0.0
Symmetry: P4/mmm (123)
N(E_F) in states/eV per atom: 0.75

x) Density functional theory data (PBE) for a geometry-optimized ScBeI2N structure.

Geometry as CIF:
```
data_ScBeI2N
_chemical_formula_sum 'Sc1 Be1 I2 N1'
_cell_length_a 5.869
_cell_length_b 5.869
_cell_length_c 3.979
_cell_angle_alpha 90.00
_cell_angle_beta 90.00
_cell_angle_gamma 90.00
_symmetry_space_group_name_H-M 'P 1'
_symmetry_Int_Tables_number 1
loop_
_symmetry_equiv_pos_as_xyz
'x,y,z'
loop_
_atom_site_label
_atom_site_fract_x
_atom_site_fract_y
_atom_site_fract_z
Sc1 0.000 0.000 0.000
Be1 0.500 0.500 0.500
I1 0.000 0.500 0.000
I2 0.500 0.000 0.000
N1 0.000 0.000 0.500
```

Computed properties:
Total magnetic moment in μB per cell: 1.3
Symmetry: P4/mmm (123)
N(E_F) in states/eV per atom: 0.73

Pick w): it beats the second-best structure by 0.262 eV/atom.